No. 1
Density functional theory data (PBE-GGA) for an optimized crystal structure of Be2CrTc.

## Properties
DOS at the Fermi energy (states/eV per cell): 2.0
ΔE to the lowest computed polymorph (meV per atom): 38.8
Formation energy (eV/atom): -0.048
Symmetry: Pm (6)
Total moment (μB per cell): 0.0

Unit cell a=3.8505 b=2.5795 c=4.4296 alpha=81.31 beta=90.00 gamma=90.00
Fractional positions:
Cr  0.0000  0.5295  0.4762
Tc  0.5000  0.7130  0.7691
Be  0.0000  0.1320  0.0003
Be  0.5000  0.1255  0.2544


No. 2
Density functional theory data (PBE-GGA) for an optimized crystal structure of Ca3TlN.

## Properties
DOS at the Fermi energy (states/eV per cell): 11.7
ΔE to the lowest computed polymorph (meV per atom): 35.5
Symmetry: Pnma (62)
Total moment (μB per cell): 0.0
E_form (uncorrected) (eV/atom): -0.602

Unit cell a=3.6372 b=13.1234 c=10.7982 alpha=90.00 beta=90.00 gamma=90.00
Fractional positions:
Ca  0.2500  0.5861  0.0718
Ca  0.7500  0.4139  0.9282
Ca  0.2500  0.0861  0.4282
Ca  0.7500  0.9139  0.5718
Ca  0.2500  0.4498  0.6514
Ca  0.7500  0.0502  0.1514
Ca  0.2500  0.9498  0.8486
Ca  0.7500  0.6440  0.7972
Ca  0.2500  0.3560  0.2028
Ca  0.7500  0.1440  0.7028
Ca  0.7500  0.5502  0.3486
Ca  0.2500  0.8560  0.2972
Tl  0.7500  0.8084  0.0335
Tl  0.2500  0.6916  0.5335
Tl  0.7500  0.3084  0.4665
Tl  0.2500  0.1916  0.9665
N  0.2500  0.0250  0.6488
N  0.2500  0.5250  0.8512
N  0.7500  0.4750  0.1488
N  0.7500  0.9750  0.3512


No. 3
Density functional theory data (PBE-GGA) for an optimized crystal structure of Ho3AgRu.

## Properties
DOS at the Fermi energy (states/eV per cell): 17.0
ΔE to the lowest computed polymorph (meV per atom): 110.7
Formation energy (eV/atom): -0.237
Symmetry: P2_1/c (14)
Total moment (μB per cell): 0.0

Unit cell a=5.9372 b=10.0228 c=9.7634 alpha=116.62 beta=90.00 gamma=90.00
Fractional positions:
Ho  0.1005  0.6510  0.8880
Ho  0.8995  0.3490  0.1120
Ho  0.6005  0.8490  0.1120
Ho  0.3995  0.1510  0.8880
Ho  0.6220  0.4417  0.8158
Ho  0.3780  0.5583  0.1842
Ho  0.1220  0.0583  0.1842
Ho  0.8780  0.9417  0.8158
Ho  0.1271  0.2244  0.6030
Ho  0.8729  0.7756  0.3970
Ho  0.6271  0.2756  0.3970
Ho  0.3729  0.7244  0.6030
Ag  0.8338  0.5946  0.5974
Ag  0.1662  0.4054  0.4026
Ag  0.3338  0.9054  0.4026
Ag  0.6662  0.0946  0.5974
Ru  0.1757  0.3930  0.9015
Ru  0.8243  0.6070  0.0985
Ru  0.6757  0.1070  0.0985
Ru  0.3243  0.8930  0.9015


No. 4
Density functional theory data (PBE-GGA) for an optimized crystal structure of Ba2GaIrSe.

## Properties
DOS at the Fermi energy (states/eV per cell): 1.1
Symmetry: P4/mmm (123)
Total moment (μB per cell): 0.0
E_form (uncorrected) (eV/atom): -0.768

Unit cell a=5.9759 b=5.9759 c=4.7730 alpha=90.00 beta=90.00 gamma=90.00
Fractional positions:
Ga  0.0000  0.0000  0.5000
Ir  0.0000  0.0000  0.0000
Ba  0.0000  0.5000  0.0000
Ba  0.5000  0.0000  0.0000
Se  0.5000  0.5000  0.5000


No. 5
Density functional theory data (PBE-GGA) for an optimized crystal structure of SiIr2Br.

## Properties
DOS at the Fermi energy (states/eV per cell): 3.9
ΔE to the lowest computed polymorph (meV per atom): 101.9
Symmetry: R-3m (166)
Total moment (μB per cell): 0.0
E_form (uncorrected) (eV/atom): 0.052

Unit cell a=9.3213 b=9.3213 c=9.3213 alpha=17.86 beta=17.86 gamma=17.86
Fractional positions:
Br  0.7500  0.7500  0.7500
Ir  0.9802  0.9802  0.9802
Ir  0.5198  0.5198  0.5198
Si  0.2500  0.2500  0.2500


No. 6
Density functional theory data (PBE-GGA) for an optimized crystal structure of Pm2YSe2O2.

## Properties
DOS at the Fermi energy (states/eV per cell): 2.9
Symmetry: I4/mmm (139)
Total moment (μB per cell): 0.0
E_form (uncorrected) (eV/atom): -2.336

Unit cell a=4.3172 b=4.3172 c=8.3517 alpha=104.98 beta=104.98 gamma=90.00
Fractional positions:
Pm  0.3728  0.3728  0.7456
Pm  0.6272  0.6272  0.2544
Y  0.0000  0.0000  0.0000
Se  0.1813  0.1813  0.3625
Se  0.8187  0.8187  0.6375
O  0.0000  0.5000  0.0000
O  0.5000  0.0000  0.0000


No. 7
Density functional theory data (PBE-GGA) for an optimized crystal structure of CsCaPd2Rh.

## Properties
DOS at the Fermi energy (states/eV per cell): 2.3
Formation energy (eV/atom): 1.038
Symmetry: P4/mmm (123)
Total moment (μB per cell): 0.0

Unit cell a=5.2502 b=5.1151 c=5.2502 alpha=90.00 beta=90.00 gamma=90.00
Fractional positions:
Cs  0.0000  0.0000  0.0000
Ca  0.5000  0.5000  0.5000
Rh  0.0000  0.5000  0.0000
Pd  0.0000  0.0000  0.5000
Pd  0.5000  0.0000  0.0000


No. 8
Density functional theory data (PBE-GGA) for an optimized crystal structure of CaIn6Ag6.

## Properties
DOS at the Fermi energy (states/eV per cell): 4.0
Formation energy (eV/atom): -0.150
Symmetry: Immm (71)
Total moment (μB per cell): 0.0

Unit cell a=5.8357 b=7.5483 c=7.5483 alpha=80.71 beta=67.26 gamma=67.26
Fractional positions:
Ca  0.0000  0.0000  0.0000
In  0.3466  0.6534  0.6534
In  0.6534  0.3466  0.3466
In  0.0000  0.3467  0.6533
In  0.0000  0.6533  0.3467
In  0.3115  0.1885  0.1885
In  0.6885  0.8115  0.8115
Ag  0.0000  0.5000  0.0000
Ag  0.5000  0.5000  0.0000
Ag  0.0000  0.0000  0.5000
Ag  0.5000  0.0000  0.5000
Ag  0.5000  0.7689  0.2311
Ag  0.5000  0.2311  0.7689